ZrPa2TaN6 | PBE | optimized geometry

Results
- ΔE_f (raw) (eV/atom) = -1.297
- total magnetization (μB/cell) = 0.98

Cell and atoms, written as extended XYZ:
```
10
Lattice="-2.205 4.673 -0.047 -4.823 -2.280 -0.428 -0.407 -0.139 5.334" Properties=species:S:1:pos:R:3 pbc="T T T"
Zr -1.238 2.624 -0.026
Pa -4.579 3.455 -0.260
Pa -2.371 4.525 2.621
Ta -3.888 1.489 2.426
N -2.971 2.852 1.217
N -3.170 2.784 3.830
N -3.066 -0.253 2.444
N -0.369 0.783 -0.008
N -5.533 1.667 3.620
N -5.333 1.735 1.007
```

CaTi2O4 | PBE | optimized geometry

Results
- ΔE_f (raw) (eV/atom) = -2.837
- total magnetization (μB/cell) = 2.08

Cell and atoms, written as extended XYZ:
```
14
Lattice="1.496 6.180 1.142 -3.387 5.011 -2.269 -3.531 3.942 3.704" Properties=species:S:1:pos:R:3 pbc="T T T"
Ca -5.393 15.052 2.563
Ca -3.412 9.522 1.622
Ti -1.326 3.701 0.630
Ti -4.073 6.369 1.041
Ti -1.646 7.449 -0.196
Ti -1.716 6.933 2.688
O -3.697 8.099 -0.180
O -3.769 7.566 2.803
O -1.258 8.683 1.523
O -1.971 5.502 0.937
O -4.645 12.964 2.208
O -5.455 10.481 1.744
O -3.152 11.506 0.570
O -3.218 11.016 3.307
```

La2ScTa | PBE | optimized geometry

Results
- DFT formation energy (kcal/mol of atoms) = 9.4
- total magnetization (μB/cell) = 0.00

Cell and atoms, written as extended XYZ:
```
4
Lattice="-1.960 0.051 5.442 -5.768 -0.418 -0.116 4.106 -3.183 -2.544" Properties=species:S:1:pos:R:3 pbc="T T T"
La 0.000 0.000 0.000
La -2.763 -1.892 0.001
Sc -3.864 -0.183 2.663
Ta -0.859 -1.657 2.780
```

Calculated volume, respectively: 14.798; 12.369; 26.775 Å³/atom.